No. 1
A plane-wave DFT calculation with PBE-GGA was carried out for Ag12Sb2Au5 after structural relaxation.

The space group is C2/m (No. 12) and the conventional cell measures 14.9108, 6.0438 and 9.2516 Å, with angles of 90.00, 100.81 and 90.00 degrees. The inequivalent atoms are Ag at (0.0195, 0.0000, 0.3574), Ag at (0.1468, 0.2356, 0.6238), Ag at (0.1536, 0.5000, 0.3613), Ag at (0.2038, 0.2619, 0.1235), Sb at (0.0000, 0.2641, 0.0000), Au at (0.0000, 0.5000, 0.5000), Au at (0.1264, 0.0000, 0.8805) and Au at (0.2015, 0.0000, 0.3791).

As for the final energy: -2.964 eV/atom. Its uncorrected formation energy is 0.133 eV/atom.

No. 2
A plane-wave DFT calculation with PBE-GGA was carried out for Cd2GeIr after structural relaxation.

The space group is I-42d (No. 122) and the conventional cell measures 10.3866, 10.3866 and 4.6661 Å, with angles of 90.00, 90.00 and 90.00 degrees. The inequivalent atoms are Cd at (0.0011, 0.2500, 0.1250), Ge at (0.0000, 0.0000, 0.5000) and Ir at (0.0000, 0.0000, 0.0000).

As for the final energy: -3.765 eV/atom. For the formation energy, the calculation gives 0.062 eV per atom.

No. 3
A plane-wave DFT calculation with PBE-GGA was carried out for RbNiRuBr6 after structural relaxation.

The space group is P312 (No. 149) and the conventional cell measures 6.6336, 6.6336 and 7.8263 Å, with angles of 90.00, 90.00 and 120.00 degrees. The inequivalent atoms are Rb at (0.0000, 0.0000, 0.0000), Ni at (0.6667, 0.3333, 0.5000), Ru at (0.3333, 0.6667, 0.5000) and Br at (0.0041, 0.3718, 0.6824).

As for the final energy: -3.486 eV/atom. Its uncorrected formation energy is -0.590 eV/atom.

No. 4
A plane-wave DFT calculation with PBE-GGA was carried out for AcPr8Dy3 after structural relaxation.

The space group is Immm (No. 71) and the conventional cell measures 6.7411, 11.6448 and 11.8203 Å, with angles of 90.00, 90.00 and 90.00 degrees. The inequivalent atoms are Ac at (0.0000, 0.0000, 0.0000), Pr at (0.0000, 0.1730, 0.2555), Pr at (0.2263, 0.2798, 0.0000), Dy at (0.0000, 0.0000, 0.5000) and Dy at (0.0000, 0.5000, 0.2169).

As for the final energy: -4.345 eV/atom. For the formation energy, the calculation gives 0.334 eV per atom.

No. 5
A plane-wave DFT calculation with PBE-GGA was carried out for Sr2LiBeSi after structural relaxation.

The space group is P4/mmm (No. 123) and the conventional cell measures 6.1625, 6.1625 and 4.1917 Å, with angles of 90.00, 90.00 and 90.00 degrees. The inequivalent atoms are Sr at (0.0000, 0.5000, 0.0000), Li at (0.0000, 0.0000, 0.5000), Be at (0.5000, 0.5000, 0.5000) and Si at (0.5000, 0.5000, 0.0000).

As for the final energy: -2.781 eV/atom. Its uncorrected formation energy is 0.104 eV/atom.

No. 6
A plane-wave DFT calculation with PBE-GGA was carried out for NaAl3Au after structural relaxation.

The space group is Pm-3m (No. 221) and the conventional cell measures 4.9973, 4.9973 and 4.9973 Å, with angles of 90.00, 90.00 and 90.00 degrees. The inequivalent atoms are Na at (0.0000, 0.0000, 0.0000), Al at (0.0000, 0.5000, 0.5000) and Au at (0.5000, 0.5000, 0.5000).

As for the final energy: -2.955 eV/atom. For the formation energy, the calculation gives 0.209 eV per atom.